Record 1
Crystalline Pr2CoSi3 at its relaxed geometry, computed with PBE-GGA.

Properties
Energy relative to the elements, uncorrected: -716 meV/atom
M_tot: 0.00 μB per atom
Excess energy over the best structure of this formula in the dataset: 0 meV/atom

a = 8.1406 Å, b = 8.5516 Å, c = 14.0477 Å
α = 90.00°, β = 90.00°, γ = 90.00°
Space group Fmmm (No. 69)
Unique sites:
Pr1 0.0000 0.2500 0.0000
Pr2 0.2500 0.2500 0.2500
Co1 0.0000 0.0000 0.1664
Si1 0.0000 0.0000 0.3281
Si2 0.2421 0.0000 0.0861

=====

Record 2
Crystalline BaPrHgSb at its relaxed geometry, computed with PBE-GGA.

Properties
Energy relative to the elements, uncorrected: -625 meV/atom
M_tot: 0.00 μB per atom

a = 8.0662 Å, b = 8.0662 Å, c = 8.0662 Å
α = 90.00°, β = 90.00°, γ = 90.00°
Space group F-43m (No. 216)
Unique sites:
Ba1 0.0000 0.0000 0.0000
Pr1 0.0000 0.0000 0.5000
Hg1 0.2500 0.2500 0.7500
Sb1 0.2500 0.2500 0.2500

=====

Record 3
Crystalline CaAgBr2 at its relaxed geometry, computed with PBE-GGA.

Properties
Energy relative to the elements, uncorrected: -985 meV/atom
M_tot: 0.00 μB per atom
Excess energy over the best structure of this formula in the dataset: 75 meV/atom

a = 4.1988 Å, b = 4.1725 Å, c = 6.7119 Å
α = 90.00°, β = 108.13°, γ = 90.00°
Space group Pm (No. 6)
Unique sites:
Ca1 0.0000 0.0000 0.0000
Ag1 0.8234 0.5000 0.6421
Br1 0.3345 0.0000 0.6654
Br2 0.5861 0.5000 0.1735

=====

Record 4
Crystalline Pr2Sm3Mg at its relaxed geometry, computed with PBE-GGA.

Properties
Formation energy: 11 meV per atom
M_tot: 0.00 μB per atom
Excess energy over the best structure of this formula in the dataset: 0 meV/atom

a = 5.0379 Å, b = 15.3793 Å, c = 5.1094 Å
α = 90.00°, β = 90.00°, γ = 90.00°
Space group Cmmm (No. 65)
Unique sites:
Pr1 0.0000 0.1643 0.0000
Sm1 0.0000 0.0000 0.5000
Sm2 0.0000 0.3328 0.5000
Mg1 0.0000 0.5000 0.0000

=====

Record 5
Crystalline HoScTl at its relaxed geometry, computed with PBE-GGA.

Properties
Formation energy: -267 meV per atom
M_tot: 0.00 μB per atom
Excess energy over the best structure of this formula in the dataset: 0 meV/atom

a = 5.1900 Å, b = 5.1900 Å, c = 6.5797 Å
α = 90.00°, β = 90.00°, γ = 120.00°
Space group P6_3/mmc (No. 194)
Unique sites:
Ho1 0.0000 0.0000 0.0000
Sc1 0.3333 0.6667 0.2500
Tl1 0.3333 0.6667 0.7500

=====

Record 6
Crystalline Mg2TaBSe at its relaxed geometry, computed with PBE-GGA.

Properties
Energy relative to the elements, uncorrected: 114 meV/atom
M_tot: 0.00 μB per atom

a = 4.4581 Å, b = 4.4581 Å, c = 4.4424 Å
α = 90.00°, β = 90.00°, γ = 90.00°
Space group P4/mmm (No. 123)
Unique sites:
Mg1 0.0000 0.5000 0.0000
Ta1 0.0000 0.0000 0.5000
B1 0.0000 0.0000 0.0000
Se1 0.5000 0.5000 0.5000